BaTlW2O6 (PBE with a Hubbard U, optimized geometry); raw total energy = -129.954 eV for the cell shown; density = 7.856 Mg/m³; crystal system = triclinic; space group = P1, No. 1
1.0
3.893 0.016 -0.005
0.008 3.894 -0.119
-1.967 -2.609 22.540
O W Tl Ba
12 4 2 2
Direct
0.536 0.035 0.077 O
0.349 0.248 0.696 O
0.963 0.439 0.920 O
0.393 0.822 0.783 O
0.791 0.092 0.577 O
0.107 0.657 0.216 O
0.653 0.728 0.306 O
0.037 0.537 0.080 O
0.213 0.040 0.431 O
0.465 0.942 0.923 O
0.895 0.325 0.788 O
0.607 0.155 0.217 O
0.609 0.655 0.217 W
0.538 0.539 0.081 W
0.393 0.321 0.783 W
0.463 0.437 0.919 W
0.269 0.342 0.538 Tl
0.729 0.729 0.457 Tl
0.832 0.721 0.662 Ba
0.166 0.247 0.330 Ba

BaTlW2O8 (PBE with a Hubbard U, optimized geometry); raw total energy = -80.270 eV for the cell shown; density = 6.505 Mg/m³; crystal system = trigonal; space group = R32, No. 155
1.0
5.571 0.000 0.000
2.786 4.825 0.000
2.786 1.608 7.952
Tl Ba O W
1 1 8 2
Direct
0.500 0.500 0.500 Tl
0.000 0.000 0.000 Ba
0.672 0.672 0.983 O
0.559 0.205 0.305 O
0.328 0.328 0.017 O
0.070 0.795 0.695 O
0.441 0.070 0.695 O
0.205 0.930 0.305 O
0.930 0.559 0.305 O
0.795 0.441 0.695 O
0.748 0.748 0.757 W
0.252 0.252 0.243 W

Ba2Tl2W3O10 (PBE with a Hubbard U, optimized geometry); raw total energy = -108.445 eV for the cell shown; density = 8.050 Mg/m³; crystal system = triclinic; space group = P1, No. 1
1.0
-1.193 -0.384 -3.723
3.598 -1.236 -0.937
-7.570 -16.418 6.064
O Ba Tl W
10 2 2 3
Direct
0.370 0.863 0.833 O
0.870 0.362 0.834 O
0.165 0.968 0.419 O
0.584 0.724 0.274 O
0.318 0.276 0.727 O
0.032 0.637 0.167 O
0.736 0.020 0.581 O
0.948 0.502 0.000 O
0.533 0.136 0.168 O
0.448 0.002 0.000 O
0.803 0.751 0.696 Ba
0.099 0.248 0.306 Ba
0.676 0.686 0.454 Tl
0.226 0.305 0.547 Tl
0.448 0.502 0.000 W
0.533 0.637 0.170 W
0.369 0.362 0.831 W

Number 1: calculated volume 17.0 A^3/atom. Number 2: calculated volume 17.8 A^3/atom. Number 3: calculated volume 16.9 A^3/atom.